{
  "formula": "Pr2AsPPd2",
  "functional": "PBE",
  "state": "optimized geometry",
  "lattice": [[-1.0205, -3.5753, 2.1974], [3.8067, 1.9294, 0.6629], [-3.2594, 4.4586, 5.7406]],
  "species": ["As", "P", "Pd", "Pd", "Pr", "Pr"],
  "frac_coords": [[0.3333, 0.6667, 0.0000], [0.6667, 0.3333, 0.5000], [0.6667, 0.3333, 0.0000], [0.3333, 0.6667, 0.5000], [0.0000, 0.0000, 0.2548], [0.0000, 0.0000, 0.7452]],
  "final_energy_ev_per_cell": -37.19,
  "crystal_system": "hexagonal",
  "space_group": "No. 187",
  "magnetic_moment_mub_per_fu": 0.00
}


{
  "formula": "Zn2As3PPd2",
  "functional": "PBE",
  "state": "optimized geometry",
  "lattice": [[-4.8565, 4.3735, 2.1818], [-6.6589, 0.7187, -1.6175], [1.0280, -4.2047, 3.5571]],
  "species": ["As", "As", "As", "P", "Pd", "Pd", "Zn", "Zn"],
  "frac_coords": [[0.6271, 0.8727, 0.2407], [0.3879, 0.6121, 0.5000], [0.1273, 0.3729, 0.7593], [0.8596, 0.1404, 0.0000], [0.5133, 0.2431, 0.1200], [0.7569, 0.4867, 0.8800], [0.2324, 0.0046, 0.3562], [0.9954, 0.7676, 0.6438]],
  "final_energy_ev_per_cell": -32.11,
  "crystal_system": "monoclinic",
  "space_group": "No. 5"
}